Model P:
Below is a relaxed Li2VBO4 crystal, with properties calculated at the PBE with a Hubbard U level.

Properties
- Total magnetization: 4.00 μB/cell
- Space group: C222_1 (20)
- DOS(E_F): 0.00 states/eV/cell

Unit cell a=5.0582 b=5.0582 c=6.2064 alpha=90.00 beta=90.00 gamma=92.93
Closest atoms and distances in Å follow each position.
Element x y z (fractional)
Li 0.1960 0.8040 0.7500  4 O 1.91-2.02
Li 0.3266 0.3266 0.0000  4 O 1.98-2.07
Li 0.6734 0.6734 0.5000  4 O 1.98-2.07
Li 0.8040 0.1960 0.2500  4 O 1.91-2.02
V 0.1876 0.8124 0.2500  4 O 1.91-1.97
V 0.8124 0.1876 0.7500  4 O 1.91-1.97
B 0.3177 0.3177 0.5000  4 O 1.49-1.51
B 0.6823 0.6823 0.0000  4 O 1.49-1.51
O 0.1964 0.1989 0.6996  1 B 1.49
O 0.1989 0.1964 0.3004  1 B 1.49
O 0.2831 0.6117 0.4962  1 B 1.51
O 0.3883 0.7169 0.0038  1 B 1.51
O 0.6117 0.2831 0.5038  1 B 1.51
O 0.7169 0.3883 0.9962  1 B 1.51
O 0.8011 0.8036 0.8004  1 B 1.49
O 0.8036 0.8011 0.1996  1 B 1.49

Model Q:
Below is a relaxed Li2VBO4 crystal, with properties calculated at the PBE with a Hubbard U level.

Properties
- Total magnetization: 4.00 μB/cell
- Space group: Pc (7)
- DOS(E_F): 0.00 states/eV/cell

Unit cell a=4.7489 b=5.1881 c=7.8449 alpha=90.00 beta=127.26 gamma=90.00
Closest atoms and distances in Å follow each position.
Element x y z (fractional)
Li 0.0000 0.1471 0.0000  4 O 1.94-2.11
Li 0.0000 0.8529 0.5000  4 O 1.94-2.11
Li 0.7447 0.3095 0.2473  4 O 1.90-2.04
Li 0.7447 0.6905 0.7473  4 O 1.90-2.04
V 0.2598 0.3244 0.7580  4 O 1.91-1.98
V 0.2598 0.6756 0.2580  4 O 1.91-1.98
B 0.4858 0.1795 0.5000  4 O 1.49-1.51
B 0.4858 0.8205 0.0000  4 O 1.49-1.51
O 0.1754 0.1921 0.5029  1 B 1.49
O 0.1754 0.8079 0.0029  1 B 1.49
O 0.3887 0.3142 0.3006  1 B 1.51
O 0.3887 0.6858 0.8006  1 B 1.51
O 0.5771 0.0962 0.9953  1 B 1.50
O 0.5771 0.9038 0.4953  1 B 1.50
O 0.7919 0.3109 0.7007  1 B 1.51
O 0.7919 0.6891 0.2007  1 B 1.51

What are the relative energies? In meV per atom: model P 11; model Q 0.